Model 1:
Computed, not measured: a relaxed structure of TlC3I at the PBEsol level of DFT.

Cell: 4.2645 4.2645 4.2645 Å, 90.00 90.00 90.00°
Space group Pm-3m (No. 221)
One atom of each set of equivalent atoms:
Tl 0.0000 0.0000 0.0000 x1
C 0.0000 0.5000 0.5000 x3
I 0.5000 0.5000 0.5000 x1

The calculation puts the spin magnetization at 0.164 μB per atom. The calculation puts the density of states at the Fermi level at 4.1 states/eV per cell.



Model 2:
Computed, not measured: a relaxed structure of TlC3I at the PBEsol level of DFT.

Cell: 4.4711 4.4711 4.4711 Å, 90.00 90.00 90.00°
Space group Pm-3m (No. 221)
One atom of each set of equivalent atoms:
Tl 0.0000 0.0000 0.0000 x1
C 0.0000 0.0000 0.5000 x3
I 0.5000 0.5000 0.5000 x1

The calculation puts the spin magnetization at 0.611 μB per atom. The calculation puts the density of states at the Fermi level at 3.8 states/eV per cell.



Which structure is the least stable? The one labeled model 2.



Model 1:
Computed, not measured: a relaxed structure of InC2 at the PBEsol level of DFT.

Cell: 6.5744 6.5744 6.5744 Å, 90.00 90.00 90.00°
Space group Fd-3m (No. 227, origin choice 2)
One atom of each set of equivalent atoms:
In 0.1250 0.1250 0.1250 x8
C 0.0000 0.0000 0.5000 x16

The calculation puts the spin magnetization at 0.000 μB per atom. The calculation puts the density of states at the Fermi level at 14.4 states/eV per cell.



Model 2:
Computed, not measured: a relaxed structure of InC2 at the PBEsol level of DFT.

Cell: 6.9699 6.9699 5.3811 Å, 90.00 90.00 120.00°
Space group P6/mmm (No. 191)
One atom of each set of equivalent atoms:
In 0.0000 0.0000 0.0000 x1
In 0.3333 0.6667 0.5000 x2
C 0.0000 0.1987 0.5000 x6

The calculation puts the spin magnetization at 0.000 μB per atom. The calculation puts the density of states at the Fermi level at 1.4 states/eV per cell.



Model 3:
Computed, not measured: a relaxed structure of InC2 at the PBEsol level of DFT.

Cell: 2.9772 2.9772 8.9775 Å, 90.00 90.00 90.00°
Space group P4/nmm (No. 129, origin choice 2)
One atom of each set of equivalent atoms:
In 0.2500 0.2500 0.1582 x2
C 0.2500 0.2500 0.4234 x2
C 0.2500 0.7500 0.5000 x2

The calculation puts the spin magnetization at 0.000 μB per atom. The calculation puts the density of states at the Fermi level at 1.9 states/eV per cell.



Which structure is the least stable? The one labeled model 1.



Model 1:
Computed, not measured: a relaxed structure of InC at the PBEsol level of DFT.

Cell: 4.6994 4.6994 4.5793 Å, 90.00 90.00 90.00°
Space group P4/mmm (No. 123)
One atom of each set of equivalent atoms:
In 0.0000 0.0000 0.0000 x1
In 0.0000 0.5000 0.5000 x2
C 0.0000 0.0000 0.5000 x1
C 0.0000 0.5000 0.0000 x2

The calculation puts the spin magnetization at 0.000 μB per atom. The calculation puts the density of states at the Fermi level at 3.5 states/eV per cell.



Model 2:
Computed, not measured: a relaxed structure of InC at the PBEsol level of DFT.

Cell: 3.3876 3.3876 2.8813 Å, 90.00 90.00 120.00°
Space group P-6m2 (No. 187)
One atom of each set of equivalent atoms:
In 0.0000 0.0000 0.0000 x1
C 0.6667 0.3333 0.5000 x1

The calculation puts the spin magnetization at 0.000 μB per atom. The calculation puts the density of states at the Fermi level at 1.0 states/eV per cell.



Which structure is the least stable? The one labeled model 1.



Model 1:
Computed, not measured: a relaxed structure of Sc2InC at the PBEsol level of DFT.

Cell: 3.3152 3.3152 15.2025 Å, 90.00 90.00 120.00°
Space group P6_3/mmc (No. 194)
One atom of each set of equivalent atoms:
Sc 0.3333 0.6667 0.0802 x4
In 0.3333 0.6667 0.7500 x2
C 0.0000 0.0000 0.0000 x2

The calculation puts the spin magnetization at 0.000 μB per atom. The calculation puts the density of states at the Fermi level at 5.0 states/eV per cell.



Model 2:
Computed, not measured: a relaxed structure of Sc2InC at the PBEsol level of DFT.

Cell: 3.3271 3.3271 26.8345 Å, 90.00 90.00 120.00°
Space group R-3m (No. 166, hexagonal axes)
One atom of each set of equivalent atoms:
Sc 0.0000 0.0000 0.0780 x6
In 0.0000 0.0000 0.5000 x3
C 0.0000 0.0000 0.0000 x3

The calculation puts the spin magnetization at 0.000 μB per atom. The calculation puts the density of states at the Fermi level at 12.4 states/eV per cell.



Which structure is the least stable? The one labeled model 2.



Model 1:
Computed, not measured: a relaxed structure of SrInC3 at the PBEsol level of DFT.

Cell: 4.5978 4.5978 4.5978 Å, 90.00 90.00 90.00°
Space group Pm-3m (No. 221)
One atom of each set of equivalent atoms:
Sr 0.0000 0.0000 0.0000 x1
In 0.5000 0.5000 0.5000 x1
C 0.0000 0.0000 0.5000 x3

The calculation puts the spin magnetization at 0.210 μB per atom. The calculation puts the density of states at the Fermi level at 5.0 states/eV per cell.



Model 2:
Computed, not measured: a relaxed structure of SrInC3 at the PBEsol level of DFT.

Cell: 4.3708 4.3708 4.3708 Å, 90.00 90.00 90.00°
Space group Pm-3m (No. 221)
One atom of each set of equivalent atoms:
Sr 0.0000 0.0000 0.0000 x1
In 0.5000 0.5000 0.5000 x1
C 0.0000 0.5000 0.5000 x3

The calculation puts the spin magnetization at 0.000 μB per atom. The calculation puts the density of states at the Fermi level at 3.9 states/eV per cell.



Which structure is the least stable? The one labeled model 1.



Model 1:
Computed, not measured: a relaxed structure of Ir4C3 at the PBEsol level of DFT.

Cell: 4.2683 4.2683 4.2683 Å, 90.00 90.00 90.00°
Space group Pm-3m (No. 221)
One atom of each set of equivalent atoms:
Ir 0.0000 0.0000 0.0000 x1
Ir 0.0000 0.5000 0.5000 x3
C 0.0000 0.0000 0.5000 x3

The calculation puts the spin magnetization at 0.000 μB per atom. The calculation puts the density of states at the Fermi level at 3.0 states/eV per cell.



Model 2:
Computed, not measured: a relaxed structure of Ir4C3 at the PBEsol level of DFT.

Cell: 4.0261 4.0261 5.8619 Å, 90.00 90.00 120.00°
Space group P6/mmm (No. 191)
One atom of each set of equivalent atoms:
Ir 0.0000 0.0000 0.2231 x2
Ir 0.3333 0.6667 0.5000 x2
C 0.0000 0.5000 0.0000 x3

The calculation puts the spin magnetization at 0.000 μB per atom. The calculation puts the density of states at the Fermi level at 7.0 states/eV per cell.



Which structure is the least stable? The one labeled model 2.



Model 1:
Computed, not measured: a relaxed structure of Nb3IrC at the PBEsol level of DFT.

Cell: 4.2267 4.2267 4.2267 Å, 90.00 90.00 90.00°
Space group Pm-3m (No. 221)
One atom of each set of equivalent atoms:
Nb 0.0000 0.0000 0.5000 x3
Ir 0.5000 0.5000 0.5000 x1
C 0.0000 0.0000 0.0000 x1

The calculation puts the spin magnetization at 0.000 μB per atom. The calculation puts the density of states at the Fermi level at 3.6 states/eV per cell.



Model 2:
Computed, not measured: a relaxed structure of Nb3IrC at the PBEsol level of DFT.

Cell: 4.7866 4.7866 4.7866 Å, 90.00 90.00 90.00°
Space group Pm-3m (No. 221)
One atom of each set of equivalent atoms:
Nb 0.0000 0.0000 0.5000 x3
Ir 0.0000 0.0000 0.0000 x1
C 0.5000 0.5000 0.5000 x1

The calculation puts the spin magnetization at 0.000 μB per atom. The calculation puts the density of states at the Fermi level at 8.3 states/eV per cell.



Which structure is the least stable? The one labeled model 2.



Model 1:
Computed, not measured: a relaxed structure of K2C at the PBEsol level of DFT.

Cell: 3.7380 3.7380 14.4462 Å, 90.00 90.00 90.00°
Space group I4/mmm (No. 139)
One atom of each set of equivalent atoms:
K 0.0000 0.0000 0.1057 x4
C 0.0000 0.0000 0.5000 x2

The calculation puts the spin magnetization at 0.696 μB per atom. The calculation puts the density of states at the Fermi level at 2.8 states/eV per cell.



Model 2:
Computed, not measured: a relaxed structure of K2C at the PBEsol level of DFT.

Cell: 4.8467 4.8467 7.4015 Å, 90.00 90.00 90.00°
Space group P4/nmm (No. 129, origin choice 2)
One atom of each set of equivalent atoms:
K 0.2500 0.2500 0.1106 x2
K 0.2500 0.7500 0.5000 x2
C 0.2500 0.2500 0.7274 x2

The calculation puts the spin magnetization at 0.667 μB per atom. The calculation puts the density of states at the Fermi level at 0.7 states/eV per cell.



Which structure is the least stable? The one labeled model 1.



Model 1:
Computed, not measured: a relaxed structure of KRuC3 at the PBEsol level of DFT.

Cell: 4.0099 4.0099 4.0099 Å, 90.00 90.00 90.00°
Space group Pm-3m (No. 221)
One atom of each set of equivalent atoms:
K 0.0000 0.0000 0.0000 x1
Ru 0.5000 0.5000 0.5000 x1
C 0.0000 0.5000 0.5000 x3

The calculation puts the spin magnetization at 0.002 μB per atom. The calculation puts the density of states at the Fermi level at 3.7 states/eV per cell.



Model 2:
Computed, not measured: a relaxed structure of KRuC3 at the PBEsol level of DFT.

Cell: 3.9262 3.9262 3.9262 Å, 90.00 90.00 90.00°
Space group Pm-3m (No. 221)
One atom of each set of equivalent atoms:
K 0.0000 0.0000 0.0000 x1
Ru 0.5000 0.5000 0.5000 x1
C 0.0000 0.0000 0.5000 x3

The calculation puts the spin magnetization at 0.001 μB per atom. The calculation puts the density of states at the Fermi level at 3.2 states/eV per cell.



Which structure is the least stable? The one labeled model 2.



Model 1:
Computed, not measured: a relaxed structure of LaC at the PBEsol level of DFT.

Cell: 3.6768 3.6768 3.1992 Å, 90.00 90.00 120.00°
Space group P-6m2 (No. 187)
One atom of each set of equivalent atoms:
La 0.0000 0.0000 0.0000 x1
C 0.3333 0.6667 0.5000 x1

The calculation puts the spin magnetization at 0.242 μB per atom. The calculation puts the density of states at the Fermi level at 2.5 states/eV per cell.



Model 2:
Computed, not measured: a relaxed structure of LaC at the PBEsol level of DFT.

Cell: 3.7319 4.2927 6.9342 Å, 79.03 75.54 64.32°
Space group P-1 (No. 2)
One atom of each set of equivalent atoms:
La 0.2239 0.2505 0.2861 x2
C 0.4405 0.6632 0.4521 x2

The calculation puts the spin magnetization at 0.000 μB per atom. The calculation puts the density of states at the Fermi level at 2.5 states/eV per cell.



Which structure is the least stable? The one labeled model 1.



Model 1:
Computed, not measured: a relaxed structure of La2CO5 at the PBEsol level of DFT.

Cell: 12.1147 6.9962 16.3820 Å, 90.00 104.26 90.00°
Space group C2/c (No. 15)
One atom of each set of equivalent atoms:
La 0.0519 0.0874 0.4054 x8
La 0.1135 0.4187 0.5967 x8
La 0.2163 0.4192 0.9057 x8
C 0.0000 0.1944 0.7500 x4
C 0.1936 0.2222 0.2498 x8
O 0.0000 0.0105 0.7500 x4
O 0.0238 0.2833 0.8215 x8
O 0.0666 0.4158 0.4476 x8
O 0.1029 0.0818 0.5586 x8
O 0.1244 0.2681 0.1789 x8
O 0.1749 0.2655 0.3220 x8
O 0.2149 0.3702 0.7515 x8
O 0.2299 0.0843 0.9411 x8

The calculation puts the spin magnetization at 0.000 μB per atom. The calculation puts the density of states at the Fermi level at 0.0 states/eV per cell.



Model 2:
Computed, not measured: a relaxed structure of La2CO5 at the PBEsol level of DFT.

Cell: 15.9006 6.9335 4.0738 Å, 90.00 90.00 90.00°
Space group Ama2 (No. 40)
One atom of each set of equivalent atoms:
La 0.0951 0.1673 0.0000 x8
C 0.2500 0.0362 0.6111 x4
O 0.0565 0.3325 0.4989 x8
O 0.1780 0.4940 0.9786 x8
O 0.2500 0.1243 0.8882 x4

The calculation puts the spin magnetization at 0.000 μB per atom. The calculation puts the density of states at the Fermi level at 0.0 states/eV per cell.



Which structure is the least stable? The one labeled model 2.



Model 1:
Computed, not measured: a relaxed structure of SrLaC2 at the PBEsol level of DFT.

Cell: 6.5124 6.5124 6.5124 Å, 90.00 90.00 90.00°
Space group Fm-3m (No. 225)
One atom of each set of equivalent atoms:
Sr 0.0000 0.0000 0.0000 x4
La 0.0000 0.0000 0.5000 x4
C 0.2500 0.2500 0.2500 x8

The calculation puts the spin magnetization at 0.000 μB per atom. The calculation puts the density of states at the Fermi level at 12.7 states/eV per cell.



Model 2:
Computed, not measured: a relaxed structure of SrLaC2 at the PBEsol level of DFT.

Cell: 6.6477 6.6477 7.6700 Å, 90.00 90.00 90.00°
Space group I-42d (No. 122)
One atom of each set of equivalent atoms:
Sr 0.0000 0.0000 0.0000 x4
La 0.0000 0.0000 0.5000 x4
C 0.2187 0.2500 0.6250 x8

The calculation puts the spin magnetization at 0.182 μB per atom. The calculation puts the density of states at the Fermi level at 16.3 states/eV per cell.



Which structure is the least stable? The one labeled model 2.